Below is a relaxed BeAlSn2Pd crystal, with properties calculated at the GGA-PBE level.

abc: 5.211 4.689 5.211
angles: 90.00 90.00 90.00
Fractional positions:
Be (0.500, 0.500, 0.500)
Pd (0.000, 0.000, 0.000)
Sn (0.000, 0.000, 0.500)
Sn (0.500, 0.000, 0.000)
Al (0.000, 0.500, 0.000)

Calculated volume = 25.46 Å³/atom
E_form = 50.8 kJ/mol of atoms